Below is a geometry-optimized ErPaZnO6 structure, with properties calculated at the PBE level.

Calculated values
**Density of states at the Fermi level**: 9.6 states/eV/f.u.
**Raw total energy**: -7.447 eV per atom
**E_form (uncorrected)**: -2.4374 eV/atom

a b c (Å): 5.3848 5.3848 4.8711
angles (deg): 90.00 90.00 120.00
Space group P312 (No. 149)
Asymmetric unit:
Er 0.0000 0.0000 0.0000
Pa 0.6667 0.3333 0.5000
Zn 0.3333 0.6667 0.0000
O 0.0018 0.3545 0.2411